Density functional theory data (PBE) for a geometry-optimized In4Bi5Pb2 structure.

Results
Total moment = 0.000 μB/f.u.
ΔH_f (0 K) = 0.67 eV/f.u.

a b c (Å): 6.840 6.840 8.587
angles (deg): 88.38 88.38 61.87
Atoms (fractional coordinates):
In (0.283, 0.283, 0.485)
In (0.717, 0.717, 0.515)
In (0.626, 0.626, 0.861)
In (0.374, 0.374, 0.139)
Bi (0.624, 0.140, 0.792)
Bi (0.376, 0.860, 0.208)
Bi (0.000, 0.000, 0.500)
Bi (0.140, 0.624, 0.792)
Bi (0.860, 0.376, 0.208)
Pb (0.128, 0.128, 0.869)
Pb (0.872, 0.872, 0.131)